No. 1
# Sr2Ac4As3N2 PBE-GGA optimized geometry
# **Formation energy without anion corrections**: -1.107 eV/atom
# **Theoretical density**: 6.78 Mg/m³
# **Space group**: I4/mmm
data_Sr2Ac4As3N2
_chemical_formula_sum 'Sr2 Ac4 As3 N2'
_cell_length_a 13.144
_cell_length_b 13.144
_cell_length_c 13.144
_cell_angle_alpha 157.69
_cell_angle_beta 157.69
_cell_angle_gamma 31.76
_symmetry_space_group_name_H-M 'P 1'
_symmetry_Int_Tables_number 1
loop_
_symmetry_equiv_pos_as_xyz
'x,y,z'
loop_
_atom_site_label
_atom_site_fract_x
_atom_site_fract_y
_atom_site_fract_z
Sr1 0.202 0.202 0.000
Sr2 0.798 0.798 0.000
Ac1 0.085 0.585 0.500
Ac2 0.415 0.915 0.500
Ac3 0.585 0.085 0.500
Ac4 0.915 0.415 0.500
As1 0.327 0.327 0.000
As2 0.500 0.500 0.000
As3 0.673 0.673 0.000
N1 0.103 0.103 0.000
N2 0.897 0.897 0.000

=====

No. 2
# Ac3Ta2As2N4 PBE-GGA optimized geometry
# **Formation energy without anion corrections**: -1.210 eV/atom
# **Theoretical density**: 9.83 Mg/m³
# **Space group**: I4/mmm
data_Ac3Ta2As2N4
_chemical_formula_sum 'Ac3 Ta2 As2 N4'
_cell_length_a 12.053
_cell_length_b 12.053
_cell_length_c 12.053
_cell_angle_alpha 159.68
_cell_angle_beta 159.68
_cell_angle_gamma 28.89
_symmetry_space_group_name_H-M 'P 1'
_symmetry_Int_Tables_number 1
loop_
_symmetry_equiv_pos_as_xyz
'x,y,z'
loop_
_atom_site_label
_atom_site_fract_x
_atom_site_fract_y
_atom_site_fract_z
Ac1 0.000 0.000 0.000
Ac2 0.161 0.161 0.000
Ac3 0.839 0.839 0.000
Ta1 0.414 0.414 0.000
Ta2 0.586 0.586 0.000
As1 0.304 0.304 0.000
As2 0.696 0.696 0.000
N1 0.077 0.577 0.500
N2 0.423 0.923 0.500
N3 0.577 0.077 0.500
N4 0.923 0.423 0.500

=====

No. 3
# AcTc2AsN2 PBE-GGA optimized geometry
# **Formation energy without anion corrections**: -0.461 eV/atom
# **Theoretical density**: 7.49 Mg/m³
# **Space group**: P2_1/m
data_AcTc2AsN2
_chemical_formula_sum 'Ac2 Tc4 As2 N4'
_cell_length_a 6.478
_cell_length_b 5.429
_cell_length_c 7.003
_cell_angle_alpha 90.00
_cell_angle_beta 108.83
_cell_angle_gamma 90.00
_symmetry_space_group_name_H-M 'P 1'
_symmetry_Int_Tables_number 1
loop_
_symmetry_equiv_pos_as_xyz
'x,y,z'
loop_
_atom_site_label
_atom_site_fract_x
_atom_site_fract_y
_atom_site_fract_z
Ac1 0.181 0.250 0.308
Ac2 0.819 0.750 0.692
Tc1 0.352 0.505 0.804
Tc2 0.352 0.995 0.804
Tc3 0.648 0.005 0.196
Tc4 0.648 0.495 0.196
As1 0.283 0.750 0.079
As2 0.717 0.250 0.921
N1 0.155 0.250 0.669
N2 0.424 0.750 0.638
N3 0.576 0.250 0.362
N4 0.845 0.750 0.331

=====

No. 4
# Ac4Te2AsN PBE-GGA optimized geometry
# **Formation energy without anion corrections**: -1.340 eV/atom
# **Theoretical density**: 8.10 Mg/m³
# **Space group**: P2/m
data_Ac4Te2AsN
_chemical_formula_sum 'Ac4 Te2 As1 N1'
_cell_length_a 7.623
_cell_length_b 4.391
_cell_length_c 8.070
_cell_angle_alpha 90.00
_cell_angle_beta 108.23
_cell_angle_gamma 90.00
_symmetry_space_group_name_H-M 'P 1'
_symmetry_Int_Tables_number 1
loop_
_symmetry_equiv_pos_as_xyz
'x,y,z'
loop_
_atom_site_label
_atom_site_fract_x
_atom_site_fract_y
_atom_site_fract_z
Ac1 0.215 0.000 0.202
Ac2 0.237 0.500 0.791
Ac3 0.763 0.500 0.209
Ac4 0.785 0.000 0.798
Te1 0.000 0.000 0.500
Te2 0.500 0.500 0.500
As1 0.500 0.000 0.000
N1 0.000 0.500 0.000

=====

No. 5
# Ac4Te2AsN2 PBE-GGA optimized geometry
# **Formation energy without anion corrections**: -1.376 eV/atom
# **Theoretical density**: 7.60 Mg/m³
# **Space group**: C2/m
data_Ac4Te2AsN2
_chemical_formula_sum 'Ac4 Te2 As1 N2'
_cell_length_a 8.828
_cell_length_b 8.828
_cell_length_c 7.922
_cell_angle_alpha 110.96
_cell_angle_beta 110.96
_cell_angle_gamma 28.82
_symmetry_space_group_name_H-M 'P 1'
_symmetry_Int_Tables_number 1
loop_
_symmetry_equiv_pos_as_xyz
'x,y,z'
loop_
_atom_site_label
_atom_site_fract_x
_atom_site_fract_y
_atom_site_fract_z
Ac1 0.040 0.040 0.264
Ac2 0.285 0.285 0.340
Ac3 0.715 0.715 0.660
Ac4 0.960 0.960 0.736
Te1 0.374 0.374 0.977
Te2 0.626 0.626 0.023
As1 0.500 0.500 0.500
N1 0.177 0.177 0.482
N2 0.823 0.823 0.518

=====

No. 6
# Ac3U2As2N5 PBE-GGA optimized geometry
# **Formation energy without anion corrections**: -1.343 eV/atom
# **Theoretical density**: 9.56 Mg/m³
# **Space group**: I4/mmm
data_Ac3U2As2N5
_chemical_formula_sum 'Ac3 U2 As2 N5'
_cell_length_a 12.859
_cell_length_b 12.859
_cell_length_c 12.859
_cell_angle_alpha 160.39
_cell_angle_beta 160.39
_cell_angle_gamma 27.87
_symmetry_space_group_name_H-M 'P 1'
_symmetry_Int_Tables_number 1
loop_
_symmetry_equiv_pos_as_xyz
'x,y,z'
loop_
_atom_site_label
_atom_site_fract_x
_atom_site_fract_y
_atom_site_fract_z
Ac1 0.000 0.000 0.000
Ac2 0.173 0.173 0.000
Ac3 0.827 0.827 0.000
U1 0.415 0.415 0.000
U2 0.585 0.585 0.000
As1 0.301 0.301 0.000
As2 0.699 0.699 0.000
N1 0.084 0.584 0.500
N2 0.416 0.916 0.500
N3 0.500 0.500 0.000
N4 0.584 0.084 0.500
N5 0.916 0.416 0.500

=====

Result set for size of the total moment: 0.00; 0.00; 0.00; 0.00; 0.81; 0.14 μB/f.u., one per record in the order listed.